1.
Material: TeAuF2
Method: DFT, PBE
State: optimized geometry

Cell lengths 8.7921, 8.7921, 5.2148 Å; angles 90.00, 90.00, 90.00 degrees
With the nearest neighbours (Å) after each atom.
Space group I-42d (No. 122)
Inequivalent atoms, fractional coordinates:
1 Te 0.0000 0.0000 0.0000 [4 per cell]  4 F 2.29
2 Au 0.0000 0.0000 0.5000 [4 per cell]  2 Te 2.61
3 F 0.0007 0.2500 0.1250 [8 per cell]  2 Te 2.29

Summary:
total DFT energy (no corrections) = -53.151 eV/cell
formation energy (no corrections) = -0.7815 eV/atom
DOS(E_F) = 6.83 states/eV per cell
density = 5.974 g cm⁻³
energy above the most stable polymorph in this dataset = 29 meV/atom
magnetic moment = 0.00 μB/cell



2.
Material: In3BiPd12
Method: DFT, PBE
State: optimized geometry

Cell lengths 4.0536, 4.0536, 16.3175 Å; angles 90.00, 90.00, 90.00 degrees
With the nearest neighbours (Å) after each atom.
Space group P4/mmm (No. 123)
Inequivalent atoms, fractional coordinates:
1 In 0.0000 0.0000 0.0000 [1 per cell]  12 Pd 2.86-2.87
2 In 0.0000 0.0000 0.2445 [2 per cell]  12 Pd 2.83-2.89
3 Bi 0.0000 0.0000 0.5000 [1 per cell]  12 Pd 2.87-2.92
4 Pd 0.0000 0.5000 0.1232 [4 per cell]  4 In 2.83-2.86, 8 Pd 2.86-2.88
5 Pd 0.0000 0.5000 0.3708 [4 per cell]  8 Pd 2.84-2.92, 2 In 2.89, 2 Bi 2.92
6 Pd 0.5000 0.5000 0.0000 [1 per cell]  8 Pd 2.86, 4 In 2.87
7 Pd 0.5000 0.5000 0.2485 [2 per cell]  8 Pd 2.84-2.88, 4 In 2.87
8 Pd 0.5000 0.5000 0.5000 [1 per cell]  4 Bi 2.87, 8 Pd 2.92

Summary:
total DFT energy (no corrections) = -80.778 eV/cell
DOS(E_F) = 12.31 states/eV per cell
density = 11.336 g cm⁻³
ΔH_f (0 K) = -614 kJ/mol of formula units
magnetic moment = 0.00 μB/cell



3.
Material: YTaGa3
Method: DFT, PBE
State: optimized geometry

Cell lengths 5.1078, 5.1078, 5.1078 Å; angles 90.00, 90.00, 90.00 degrees
With the nearest neighbours (Å) after each atom.
Space group Pm-3m (No. 221)
Inequivalent atoms, fractional coordinates:
1 Y 0.0000 0.0000 0.0000 [1 per cell]  6 Ga 2.55
2 Ta 0.5000 0.5000 0.5000 [1 per cell]  12 Ga 3.61
3 Ga 0.0000 0.0000 0.5000 [3 per cell]  2 Y 2.55

Summary:
total DFT energy (no corrections) = -19.907 eV/cell
DOS(E_F) = 7.88 states/eV per cell
density = 5.969 g cm⁻³
energy above the most stable polymorph in this dataset = 1428 meV/atom
ΔH_f (0 K) = 723 kJ/mol of formula units
magnetic moment = 0.00 μB/cell



4.
Material: CaCoI
Method: DFT, PBE
State: optimized geometry

Cell lengths 4.9276, 4.9276, 6.0167 Å; angles 90.00, 90.00, 90.00 degrees
With the nearest neighbours (Å) after each atom.
Space group P4/nmm (No. 129, origin choice 2)
Inequivalent atoms, fractional coordinates:
1 Ca 0.2500 0.2500 0.1334 [2 per cell]  2 Co 2.91-3.10
2 Co 0.2500 0.2500 0.6490 [2 per cell]  4 I 2.62, 1 Ca 2.91
3 I 0.2500 0.7500 0.5000 [2 per cell]  4 Co 2.62

Summary:
total DFT energy (no corrections) = -20.280 eV/cell
formation energy (no corrections) = 0.1726 eV/atom
DOS(E_F) = 3.75 states/eV per cell
density = 5.136 g cm⁻³
magnetic moment = 0.00 μB/cell



5.
Material: LaAlP2
Method: DFT, PBE
State: optimized geometry

Cell lengths 3.9301, 3.9301, 6.1586 Å; angles 90.00, 90.00, 90.00 degrees
With the nearest neighbours (Å) after each atom.
Space group P4mm (No. 99)
Inequivalent atoms, fractional coordinates:
1 La 0.0000 0.0000 0.0000 [1 per cell]  5 P 2.85-2.93
2 Al 0.5000 0.5000 0.4854 [1 per cell]  1 P 2.35
3 P 0.0000 0.0000 0.5249 [1 per cell]  4 Al 2.79, 1 La 2.93
4 P 0.5000 0.5000 0.1040 [1 per cell]  1 Al 2.35

Summary:
total DFT energy (no corrections) = -22.022 eV/cell
DOS(E_F) = 1.53 states/eV per cell
density = 3.977 g cm⁻³
ΔH_f (0 K) = -244 kJ/mol of formula units
magnetic moment = 0.00 μB/cell



6.
Material: SrTiSb2C
Method: DFT, PBE
State: optimized geometry

Cell lengths 5.1198, 5.1198, 6.3813 Å; angles 90.00, 90.00, 90.00 degrees
With the nearest neighbours (Å) after each atom.
Space group P4/mmm (No. 123)
Inequivalent atoms, fractional coordinates:
1 Sr 0.0000 0.0000 0.0000 [1 per cell]  2 Ti 3.19
2 Ti 0.0000 0.0000 0.5000 [1 per cell]  4 Sb 2.56
3 Sb 0.0000 0.5000 0.5000 [2 per cell]  2 Ti 2.56
4 C 0.5000 0.5000 0.0000 [1 per cell]  4 Sr 3.62

Summary:
total DFT energy (no corrections) = -21.005 eV/cell
formation energy (no corrections) = 1.2081 eV/atom
DOS(E_F) = 3.15 states/eV per cell
density = 3.882 g cm⁻³
magnetic moment = 2.98 μB/cell



7.
Material: LiHoLuOs
Method: DFT, PBE
State: optimized geometry

Cell lengths 6.8375, 6.8375, 6.8375 Å; angles 90.00, 90.00, 90.00 degrees
With the nearest neighbours (Å) after each atom.
Space group F-43m (No. 216)
Inequivalent atoms, fractional coordinates:
1 Li 0.0000 0.0000 0.0000 [4 per cell]  4 Ho 2.96, 4 Lu 2.96
2 Ho 0.2500 0.2500 0.7500 [4 per cell]  4 Os 2.96, 4 Li 2.96
3 Lu 0.2500 0.2500 0.2500 [4 per cell]  4 Li 2.96, 4 Os 2.96
4 Os 0.0000 0.0000 0.5000 [4 per cell]  4 Ho 2.96, 4 Lu 2.96

Summary:
total DFT energy (no corrections) = -93.511 eV/cell
DOS(E_F) = 11.35 states/eV per cell
density = 11.160 g cm⁻³
ΔH_f (0 K) = -110 kJ/mol of formula units
magnetic moment = 0.00 μB/cell